First-principles (PBE) data for a geometry-optimized Y3NbCr structure, as listed in Alexandria via LeMat-Bulk.

Density of states at the Fermi level (states/eV/f.u.): 4.9
Final energy (eV per cell): -34.7
E_form (eV/f.u.): 4.44
Total moment (μB/f.u.): 4.33

Cell lengths 5.396, 5.396, 5.396 Å; angles 90.00, 90.00, 90.00 degrees
Site moments in Bohr magnetons follow the coordinates.
Fractional positions:
Y1 0.000 0.500 0.000  -0.04
Y2 0.000 0.000 0.500  -0.05
Y3 0.500 0.000 0.000  -0.06
Cr1 0.500 0.500 0.500  4.01
Nb1 0.000 0.000 0.000  -0.06